The following is a DFT calculation (GGA+U) of a relaxed Li3V2CrO6 crystal.

Calculated values
Its crystal system is monoclinic. As for the volume: 9.44 Å³ per atom. The mass density comes out at 3.97 Mg/m³. The value obtained for the electronic total energy is -6.9163 eV/atom. For the total moment, the calculation gives 14.00 μB per cell.

Cell lengths 13.091, 2.976, 5.970 Å; angles 90.00, 103.08, 90.00 degrees
Space group C2/m (No. 12)
Asymmetric unit:
Li: 0.000 0.000 0.000 [2 per cell]
Li: 0.164 0.500 0.333 [4 per cell]
V: 0.167 0.500 0.834 [4 per cell]
Cr: 0.000 0.000 0.500 [2 per cell]
O: 0.005 0.500 0.735 [4 per cell]
O: 0.160 0.000 0.594 [4 per cell]
O: 0.171 0.000 0.074 [4 per cell]